Entry 1:
The following is a DFT calculation (PBE) of a geometry-optimized Nd2HoTl3 structure.

Cell: 14.702 14.702 6.769 Å, 90.00 90.00 165.28°
Fractional coordinates of all 12 atoms:
Nd1 0.006 0.994 0.750
Nd2 0.154 0.846 0.250
Nd3 0.846 0.154 0.750
Nd4 0.994 0.006 0.250
Ho1 0.332 0.668 0.250
Ho2 0.668 0.332 0.750
Tl1 0.253 0.747 0.750
Tl2 0.422 0.578 0.510
Tl3 0.422 0.578 0.990
Tl4 0.578 0.422 0.010
Tl5 0.578 0.422 0.490
Tl6 0.747 0.253 0.250

Summary:
Its energy of formation is -235 meV per atom. As for the magnetization: 0.000 μB per atom. As for the energy above the most stable polymorph in this dataset: 0.84 eV per formula unit. The total energy is -3.770 eV/atom.


Entry 2:
The following is a DFT calculation (PBE) of a geometry-optimized Pm2MgSn3Rh4 structure.

Cell: 4.368 4.368 11.132 Å, 90.00 90.00 90.00°
Fractional coordinates of all 10 atoms:
Pm1 0.000 0.500 0.245
Pm2 0.500 0.000 0.755
Mg1 0.000 0.000 0.500
Sn1 0.000 0.500 0.869
Sn2 0.500 0.000 0.131
Sn3 0.500 0.500 0.500
Rh1 0.000 0.000 0.000
Rh2 0.000 0.500 0.637
Rh3 0.500 0.000 0.363
Rh4 0.500 0.500 0.000

Summary:
Its energy of formation is -683 meV per atom. As for the magnetization: 0.000 μB per atom. The total energy is -5.934 eV/atom.


Entry 3:
The following is a DFT calculation (PBE) of a geometry-optimized Pd2BrF structure.

Cell: 5.592 5.592 5.592 Å, 106.65 106.65 115.28°
Fractional coordinates of all 8 atoms:
Pd1 0.102 0.625 0.977
Pd2 0.375 0.352 0.477
Pd3 0.648 0.125 0.023
Pd4 0.875 0.898 0.523
Br1 0.250 0.750 0.500
Br2 0.500 0.500 0.000
F1 0.000 0.000 0.000
F2 0.750 0.250 0.500

Summary:
As for the magnetization: 0.000 μB per atom. The formation energy (no corrections) is -0.155 eV per atom. As for the energy above the most stable polymorph in this dataset: 0.00 eV per formula unit. The total energy is -3.637 eV/atom.


Record order is preserved below.
Density of states at the Fermi level: 0.810 0.800 0.988 states/eV per atom